# 1
Computed, not measured: a relaxed Rb2Pm2Cl7 crystal at the GGA-PBE level of DFT.

Results
**ΔE_f (raw)**: -2.0388 eV/atom
**E_tot**: -4.254 eV/atom
**Total magnetic moment**: 0.092 μB per atom
**Crystal system**: orthorhombic

Unit cell a=6.9153 b=7.5987 c=6.9153 alpha=89.99 beta=96.86 gamma=90.01
Each line ends with the local moment (μB).
Fractional positions:
Cl: 0.4998 0.2179 0.5002  0.00
Cl: 0.9998 0.2256 0.5003  0.00
Cl: 0.4997 0.2256 0.0002  0.00
Cl: 0.5002 0.7821 0.4998  0.00
Cl: 0.5003 0.7744 0.9998  0.00
Cl: 0.0002 0.7744 0.4997  0.00
Cl: 0.0000 0.0000 0.0000  0.00
Rb: 0.2359 0.5000 0.2359  0.00
Rb: 0.7641 0.5000 0.7641  0.00
Pm: 0.7210 0.0000 0.2790  0.28
Pm: 0.2790 0.0000 0.7210  0.28

# 2
Computed, not measured: a relaxed La2Pr2Sm2In crystal at the GGA-PBE level of DFT.

Results
**E_tot**: -4.318 eV/atom
**Total magnetic moment**: 0.011 μB per atom
**Crystal system**: monoclinic
**Calculated formation energy**: 0.20 eV per atom

Unit cell a=3.4085 b=12.4899 c=5.9471 alpha=76.13 beta=90.00 gamma=97.84
Fractional positions:
In: 0.0000 0.0000 0.5000
Sm: 0.0673 0.1345 0.9321
Sm: 0.9327 0.8655 0.0679
Pr: 0.7834 0.5668 0.2196
Pr: 0.2166 0.4332 0.7804
La: 0.8561 0.7122 0.6466
La: 0.1439 0.2878 0.3534

# 3
Computed, not measured: a relaxed Dy4Mg crystal at the GGA-PBE level of DFT.

Results
**Energy above the lowest structure with this stoichiometry**: 0.0 meV per atom
**E_tot**: -4.018 eV/atom
**Total magnetic moment**: 0.000 μB per atom
**Crystal system**: tetragonal
**Calculated formation energy**: -0.02 eV per atom

Unit cell a=3.5555 b=3.5555 c=12.0867 alpha=98.46 beta=98.46 gamma=90.00
Fractional positions:
Dy: 0.1968 0.1968 0.3936
Dy: 0.8032 0.8032 0.6064
Dy: 0.5933 0.5933 0.1867
Dy: 0.4067 0.4067 0.8133
Mg: 0.0000 0.0000 0.0000